# Pr2Be4Si3Pd | Alexandria | GGA-PBE | optimized geometry
data_Pr2Be4Si3Pd
_cell_length_a 3.977
_cell_length_b 3.977
_cell_length_c 9.864
_cell_angle_alpha 90.00
_cell_angle_beta 90.00
_cell_angle_gamma 90.00
_space_group_name_H-M_alt 'P -4 m 2'
_space_group_IT_number 115
loop_
_space_group_symop_operation_xyz
'x,y,z'
'y,-x,-z'
'-x,-y,z'
'-y,x,-z'
'-x,y,z'
'-y,-x,-z'
'x,-y,z'
'y,x,-z'
loop_
_atom_site_label
_atom_site_type_symbol
_atom_site_fract_x
_atom_site_fract_y
_atom_site_fract_z
Pr1 Pr 0.000 0.500 0.242
Be1 Be 0.000 0.000 0.000
Be2 Be 0.000 0.500 0.630
Be3 Be 0.500 0.500 0.000
Si1 Si 0.000 0.500 0.871
Si2 Si 0.500 0.500 0.500
Pd1 Pd 0.000 0.000 0.500
# * VASP energy: -50.789 eV/cell
# * raw formation energy: -46.92 kJ/mol of atoms